No. 1
First-principles (PBE) data for a relaxed SrAlI2 crystal, as listed in Alexandria via LeMat-Bulk.

Values from the calculation:
M_tot in μB/f.u.: 0.00
Space-group type: Fm-3m, No. 225
Energy relative to the lowest polymorph listed for this composition in eV per atom: 0.000
Energy relative to the elements, uncorrected in eV/f.u.: -2.4

The structure in extended XYZ format:
```
4
Lattice="0.0000 4.1019 4.1019 4.1019 0.0000 4.1019 4.1019 4.1019 0.0000" Properties=species:S:1:pos:R:3 pbc="T T T"
Sr 0.0000 0.0000 0.0000
Al 4.1019 4.1019 4.1019
I 2.0510 2.0510 2.0510
I 6.1529 6.1529 6.1529
```



No. 2
First-principles (PBE) data for a relaxed SrAlI3 crystal, as listed in Alexandria via LeMat-Bulk.

Values from the calculation:
M_tot in μB/f.u.: 0.00
Space-group type: Pm-3m, No. 221
Energy relative to the lowest polymorph listed for this composition in eV per atom: 0.087
Energy relative to the elements, uncorrected in eV/f.u.: -3.3

The structure in extended XYZ format:
```
5
Lattice="5.8159 0.0000 0.0000 0.0000 5.8159 0.0000 0.0000 0.0000 5.8159" Properties=species:S:1:pos:R:3 pbc="T T T"
Sr 0.0000 0.0000 0.0000
Al 2.9080 2.9080 2.9080
I 0.0000 2.9080 2.9080
I 2.9080 0.0000 2.9080
I 2.9080 2.9080 0.0000
```



No. 3
First-principles (PBE) data for a relaxed SrAl3I crystal, as listed in Alexandria via LeMat-Bulk.

Values from the calculation:
M_tot in μB/f.u.: 0.00
Space-group type: Pm-3m, No. 221
Energy relative to the lowest polymorph listed for this composition in eV per atom: 0.000
Energy relative to the elements, uncorrected in eV/f.u.: 3.2

The structure in extended XYZ format:
```
5
Lattice="5.7042 0.0000 0.0000 0.0000 5.7042 0.0000 0.0000 0.0000 5.7042" Properties=species:S:1:pos:R:3 pbc="T T T"
Sr 0.0000 0.0000 0.0000
Al 0.0000 2.8521 2.8521
Al 2.8521 0.0000 2.8521
Al 2.8521 2.8521 0.0000
I 2.8521 2.8521 2.8521
```



No. 4
First-principles (PBE) data for a relaxed Sr2Al2I crystal, as listed in Alexandria via LeMat-Bulk.

Values from the calculation:
M_tot in μB/f.u.: 0.20
Space-group type: P4/mbm, No. 127
Energy relative to the elements, uncorrected in eV/f.u.: -1.6

The structure in extended XYZ format:
```
10
Lattice="9.3230 0.0000 0.0000 0.0000 9.3230 0.0000 0.0000 0.0000 4.1986" Properties=species:S:1:pos:R:3 pbc="T T T"
Sr 1.8023 2.8592 0.0000
Sr 2.8592 7.5207 0.0000
Sr 6.4638 1.8023 0.0000
Sr 7.5207 6.4638 0.0000
Al 0.8794 5.5409 2.0993
Al 3.7821 0.8794 2.0993
Al 5.5409 8.4436 2.0993
Al 8.4436 3.7821 2.0993
I 0.0000 0.0000 0.0000
I 4.6615 4.6615 0.0000
```



No. 5
First-principles (PBE) data for a relaxed SrAl3I crystal, as listed in Alexandria via LeMat-Bulk.

Values from the calculation:
M_tot in μB/f.u.: 1.41
Space-group type: Pm-3m, No. 221
Energy relative to the lowest polymorph listed for this composition in eV per atom: 0.472
Energy relative to the elements, uncorrected in eV/f.u.: 5.6

The structure in extended XYZ format:
```
5
Lattice="6.2610 0.0000 0.0000 0.0000 6.2610 0.0000 0.0000 0.0000 6.2610" Properties=species:S:1:pos:R:3 pbc="T T T"
Sr 0.0000 0.0000 0.0000
Al 0.0000 0.0000 3.1305
Al 0.0000 3.1305 0.0000
Al 3.1305 0.0000 0.0000
I 3.1305 3.1305 3.1305
```



No. 6
First-principles (PBE) data for a relaxed Sr2AlI8 crystal, as listed in Alexandria via LeMat-Bulk.

Values from the calculation:
M_tot in μB/f.u.: 0.00
Space-group type: C2/m, No. 12
Energy relative to the elements, uncorrected in eV/f.u.: -10.8

The structure in extended XYZ format:
```
11
Lattice="7.9371 -3.4574 0.0000 7.9371 3.4574 0.0000 -6.3485 0.0000 10.1957" Properties=species:S:1:pos:R:3 pbc="T T T"
Sr 2.2131 0.0000 0.5243
Sr 7.3125 0.0000 9.6715
Al 4.7628 0.0000 5.0979
I -0.5207 0.0000 2.2019
I 3.3193 1.7424 3.7969
I -0.9196 0.0000 10.1048
I 6.2063 1.7424 6.3989
I 3.3193 -1.7424 3.7969
I 10.4452 0.0000 0.0909
I 6.2063 -1.7424 6.3989
I 10.0463 0.0000 7.9938
```



No. 7
First-principles (PBE) data for a relaxed Sr2Al2I crystal, as listed in Alexandria via LeMat-Bulk.

Values from the calculation:
M_tot in μB/f.u.: 0.00
Space-group type: I4/mmm, No. 139
Energy relative to the elements, uncorrected in eV/f.u.: -0.6

The structure in extended XYZ format:
```
5
Lattice="-3.1983 3.1983 4.4420 3.1983 -3.1983 4.4420 3.1983 3.1983 -4.4420" Properties=species:S:1:pos:R:3 pbc="T T T"
Sr 3.1983 0.0000 2.2210
Sr 0.0000 3.1983 2.2210
Al 0.0000 0.0000 1.2307
Al 0.0000 0.0000 7.6534
I 0.0000 0.0000 4.4420
```



No. 8
First-principles (PBE) data for a relaxed Sr3AlI crystal, as listed in Alexandria via LeMat-Bulk.

Values from the calculation:
M_tot in μB/f.u.: 0.00
Space-group type: Pm-3m, No. 221
Energy relative to the lowest polymorph listed for this composition in eV per atom: 0.000
Energy relative to the elements, uncorrected in eV/f.u.: -1.5

The structure in extended XYZ format:
```
5
Lattice="6.2982 0.0000 0.0000 0.0000 6.2982 0.0000 0.0000 0.0000 6.2982" Properties=species:S:1:pos:R:3 pbc="T T T"
Sr 0.0000 0.0000 3.1491
Sr 0.0000 3.1491 0.0000
Sr 3.1491 0.0000 0.0000
Al 0.0000 0.0000 0.0000
I 3.1491 3.1491 3.1491
```



No. 9
First-principles (PBE) data for a relaxed Sr2Al2I crystal, as listed in Alexandria via LeMat-Bulk.

Values from the calculation:
M_tot in μB/f.u.: 0.00
Space-group type: I4/mmm, No. 139
Energy relative to the elements, uncorrected in eV/f.u.: -1.9

The structure in extended XYZ format:
```
5
Lattice="-2.0244 2.0244 9.9885 2.0244 -2.0244 9.9885 2.0244 2.0244 -9.9885" Properties=species:S:1:pos:R:3 pbc="T T T"
Sr 0.0000 0.0000 2.3306
Sr 0.0000 0.0000 17.6463
Al 2.0244 0.0000 4.9942
Al 0.0000 2.0244 4.9942
I 0.0000 0.0000 9.9885
```



No. 10
First-principles (PBE) data for a relaxed SrAlTe2I crystal, as listed in Alexandria via LeMat-Bulk.

Values from the calculation:
M_tot in μB/f.u.: 0.00
Space-group type: P4/mmm, No. 123
Energy relative to the lowest polymorph listed for this composition in eV per atom: 0.000
Energy relative to the elements, uncorrected in eV/f.u.: -3.4

The structure in extended XYZ format:
```
5
Lattice="5.4514 0.0000 0.0000 0.0000 5.4514 0.0000 0.0000 0.0000 5.6975" Properties=species:S:1:pos:R:3 pbc="T T T"
Sr 0.0000 0.0000 0.0000
Al 2.7257 2.7257 2.8487
Te 0.0000 2.7257 2.8487
Te 2.7257 0.0000 2.8487
I 2.7257 2.7257 0.0000
```



No. 11
First-principles (PBE) data for a relaxed SrAlTe2I crystal, as listed in Alexandria via LeMat-Bulk.

Values from the calculation:
M_tot in μB/f.u.: 1.46
Space-group type: P4/mmm, No. 123
Energy relative to the lowest polymorph listed for this composition in eV per atom: 0.667
Energy relative to the elements, uncorrected in eV/f.u.: -0.1

The structure in extended XYZ format:
```
5
Lattice="6.2639 0.0000 0.0000 0.0000 6.2639 0.0000 0.0000 0.0000 6.3570" Properties=species:S:1:pos:R:3 pbc="T T T"
Sr 0.0000 0.0000 0.0000
Al 3.1320 3.1320 3.1785
Te 0.0000 3.1320 0.0000
Te 3.1320 0.0000 0.0000
I 0.0000 0.0000 3.1785
```



No. 12
First-principles (PBE) data for a relaxed TaAlI2 crystal, as listed in Alexandria via LeMat-Bulk.

Values from the calculation:
M_tot in μB/f.u.: 1.01
Space-group type: I-42d, No. 122
Energy relative to the lowest polymorph listed for this composition in eV per atom: 0.000
Energy relative to the elements, uncorrected in eV/f.u.: 1.8

The structure in extended XYZ format:
```
8
Lattice="-5.0088 5.0088 2.6880 5.0088 -5.0088 2.6880 5.0088 5.0088 -2.6880" Properties=species:S:1:pos:R:3 pbc="T T T"
Ta 0.0000 0.0000 0.0000
Ta 0.0000 5.0088 1.3440
Al 5.0088 0.0000 1.3440
Al 0.0000 0.0000 2.6880
I 1.0266 2.5044 0.6720
I -2.5044 3.9822 2.0160
I -1.0266 7.5132 0.6720
I 2.5044 6.0354 2.0160
```



No. 13
First-principles (PBE) data for a relaxed Ta2AlI crystal, as listed in Alexandria via LeMat-Bulk.

Values from the calculation:
M_tot in μB/f.u.: 0.00
Space-group type: Fm-3m, No. 225
Energy relative to the lowest polymorph listed for this composition in eV per atom: 0.000
Energy relative to the elements, uncorrected in eV/f.u.: 2.6

The structure in extended XYZ format:
```
4
Lattice="0.0000 3.3539 3.3539 3.3539 0.0000 3.3539 3.3539 3.3539 0.0000" Properties=species:S:1:pos:R:3 pbc="T T T"
Ta 1.6769 1.6769 1.6769
Ta 5.0308 5.0308 5.0308
Al 0.0000 0.0000 0.0000
I 3.3539 3.3539 3.3539
```